YCrOs | meta-GGA SCAN | PBEsol geometry

spin magnetization: 0.00 Bohr magnetons per cell
calculated formation energy: 0.1008 eV/atom
symmetry: I4mm

Geometry as POSCAR:
```
YCrOs
1.0
-0.605 2.568 -1.447
-2.564 0.269 1.550
4.308 1.478 3.950
Cr Os Y
1 1 1
Direct
0.031 0.031 0.061 Cr
0.635 0.635 0.270 Os
0.334 0.334 0.668 Y
```